DFT (PBE-GGA) results for a relaxed LaNi3 crystal.

Output
Space-group type   No. 47
E_form   0.0779 eV/atom
Calculated volume   63.5 Å³ per cell

a = 3.1195 Å, b = 3.2368 Å, c = 6.2882 Å
α = 90.00°, β = 90.00°, γ = 90.00°
With the nearest neighbours (Å) after each atom.
Fractional positions:
La1 0.0000 0.0000 0.0000  10 Ni 3.00-3.14, 4 La 3.12-3.24
Ni1 0.0000 0.0000 0.5000  8 Ni 2.53
Ni2 0.5000 0.5000 0.3151  5 Ni 2.33-2.53
Ni3 0.5000 0.5000 0.6849  5 Ni 2.33-2.53